Entry from Alexandria: a geometry-optimized AlBi2S6 structure (GGA-PBE).

Computed properties:
- Energy relative to the elements, uncorrected: -99 kJ/mol of formula units
- Space group: P4_2/mnm (136)

Structure (CIF):
```
data_AlBi2S6
_cell_length_a 6.151
_cell_length_b 6.151
_cell_length_c 11.901
_cell_angle_alpha 90.00
_cell_angle_beta 90.00
_cell_angle_gamma 90.00
_symmetry_space_group_name_H-M 'P 1'
_symmetry_Int_Tables_number 1
_symmetry_space_group_name_Hall 'P 1'
loop_
_atom_site_label
_atom_site_fract_x
_atom_site_fract_y
_atom_site_fract_z
Al1 0.000 0.000 0.000
Al2 0.500 0.500 0.500
Bi1 0.000 0.000 0.333
Bi2 0.500 0.500 0.833
Bi3 0.500 0.500 0.167
Bi4 0.000 0.000 0.667
S1 0.316 0.316 0.351
S2 0.684 0.684 0.351
S3 0.184 0.816 0.851
S4 0.816 0.184 0.851
S5 0.184 0.816 0.149
S6 0.816 0.184 0.149
S7 0.316 0.316 0.649
S8 0.684 0.684 0.649
S9 0.279 0.279 0.000
S10 0.721 0.721 0.000
S11 0.221 0.779 0.500
S12 0.779 0.221 0.500
```